# RbAuClF2

RbAuClF2 after structural relaxation (PBE, Alexandria).

Calculated values
The magnetization comes out at 0.0 μB per formula unit. Its raw formation energy is -1.39 eV/atom. The value obtained for the total energy is -3.36 eV per atom.

abc: 4.6361 4.6361 4.9352
angles: 90.00 90.00 90.00
Element x y z (fractional)
Rb (0.0000, 0.0000, 0.0000)
Au (0.5000, 0.5000, 0.5000)
Cl (0.5000, 0.5000, 0.0000)
F (0.0000, 0.5000, 0.5000)
F (0.5000, 0.0000, 0.5000)

***

# MnCr2Mo

MnCr2Mo after structural relaxation (PBE, Alexandria).

Calculated values
The magnetization comes out at 0.0 μB per formula unit. As for the energy above the most stable polymorph in this dataset: 1.09 eV/f.u. The value obtained for the total energy is -9.45 eV per atom. The energy of formation is 0.36 eV per atom.

abc: 8.7809 8.7809 8.7809
angles: 17.13 17.13 17.13
Element x y z (fractional)
Mn (0.0000, 0.0000, 0.0000)
Cr (0.2576, 0.2576, 0.2576)
Cr (0.7424, 0.7424, 0.7424)
Mo (0.5000, 0.5000, 0.5000)

***

# Pu2SbO8

Pu2SbO8 after structural relaxation (PBE, Alexandria).

Calculated values
The magnetization comes out at 5.0 μB per formula unit. Its raw formation energy is -1.98 eV/atom. The value obtained for the total energy is -8.57 eV per atom.

abc: 5.1215 5.5053 6.9160
angles: 89.90 70.48 78.74
Element x y z (fractional)
Pu (0.0048, 0.9996, 0.2416)
Pu (0.9952, 0.0004, 0.7584)
Sb (0.0000, 0.5000, 0.5000)
O (0.2056, 0.6421, 0.6650)
O (0.2109, 0.6414, 0.2342)
O (0.2242, 0.1365, 0.4460)
O (0.2261, 0.0708, 0.9403)
O (0.7739, 0.9292, 0.0597)
O (0.7758, 0.8635, 0.5540)
O (0.7891, 0.3586, 0.7658)
O (0.7944, 0.3579, 0.3350)

***

# Rh2CIO

Rh2CIO after structural relaxation (PBE, Alexandria).

Calculated values
The magnetization comes out at 0.1 μB per formula unit. Its raw formation energy is 1.47 eV/atom. The value obtained for the total energy is -4.61 eV per atom.

abc: 3.8548 3.8548 6.7947
angles: 90.00 90.00 90.00
Element x y z (fractional)
Rh (0.0000, 0.5000, 0.0000)
Rh (0.5000, 0.0000, 0.0000)
C (0.0000, 0.0000, 0.5000)
I (0.5000, 0.5000, 0.5000)
O (0.5000, 0.5000, 0.0000)

***

# NdLuHgOs

NdLuHgOs after structural relaxation (PBE, Alexandria).

Calculated values
The magnetization comes out at 0.0 μB per formula unit. The value obtained for the total energy is -5.39 eV per atom. The energy of formation is -0.19 eV per atom.

abc: 5.0538 5.0538 5.0538
angles: 60.00 60.00 60.00
Element x y z (fractional)
Nd (0.0000, 0.0000, 0.0000)
Lu (0.5000, 0.5000, 0.5000)
Hg (0.2500, 0.2500, 0.2500)
Os (0.7500, 0.7500, 0.7500)

***

# Lu2CdGe

Lu2CdGe after structural relaxation (PBE, Alexandria).

Calculated values
The magnetization comes out at 0.0 μB per formula unit. The value obtained for the total energy is -4.02 eV per atom. The energy of formation is -0.37 eV per atom.

abc: 6.8145 6.8145 6.8145
angles: 37.12 37.12 37.12
Element x y z (fractional)
Lu (0.2360, 0.2360, 0.2360)
Lu (0.7640, 0.7640, 0.7640)
Cd (0.0000, 0.0000, 0.0000)
Ge (0.5000, 0.5000, 0.5000)